--- one ---
CrOs2Br | PBEsol | relaxed

Unit cell a=2.804 b=4.795 c=9.347 alpha=90.00 beta=90.00 gamma=90.00
Space group Cmm2 (No. 35)
One atom of each set of equivalent atoms:
Cr  0.000  0.000  0.000 [2 per cell]
Os  0.000  0.000  0.543 [2 per cell]
Os  0.000  0.500  0.776 [2 per cell]
Br  0.000  0.500  0.220 [2 per cell]

=====

--- two ---
CrOs2Br | PBEsol | relaxed

Unit cell a=2.786 b=4.535 c=10.547 alpha=90.00 beta=90.00 gamma=90.00
Space group Cmmm (No. 65)
One atom of each set of equivalent atoms:
Cr  0.000  0.000  0.000 [2 per cell]
Os  0.000  0.500  0.191 [4 per cell]
Br  0.000  0.000  0.500 [2 per cell]

=====

--- three ---
CrOs2Br | PBEsol | relaxed

Unit cell a=6.139 b=6.139 c=6.139 alpha=90.00 beta=90.00 gamma=90.00
Space group Fm-3m (No. 225)
One atom of each set of equivalent atoms:
Cr  0.000  0.000  0.000 [4 per cell]
Os  0.250  0.250  0.250 [8 per cell]
Br  0.000  0.000  0.500 [4 per cell]

=====

Most stable structure: two

=====

--- one ---
CrOsBr2 | PBEsol | relaxed

Unit cell a=6.426 b=6.426 c=6.426 alpha=90.00 beta=90.00 gamma=90.00
Space group Fm-3m (No. 225)
One atom of each set of equivalent atoms:
Cr  0.000  0.000  0.000 [4 per cell]
Os  0.000  0.000  0.500 [4 per cell]
Br  0.250  0.250  0.250 [8 per cell]

=====

--- two ---
CrOsBr2 | PBEsol | relaxed

Unit cell a=3.037 b=4.238 c=5.659 alpha=90.00 beta=90.00 gamma=90.00
Space group Pmmm (No. 47)
One atom of each set of equivalent atoms:
Cr  0.000  0.000  0.000 [1 per cell]
Os  0.500  0.000  0.500 [1 per cell]
Br  0.000  0.500  0.500 [1 per cell]
Br  0.500  0.500  0.000 [1 per cell]

=====

Most stable structure: two

=====

--- one ---
Cr2PBr | PBEsol | relaxed

Unit cell a=3.011 b=3.011 c=6.257 alpha=90.00 beta=90.00 gamma=90.00
Space group P4/mmm (No. 123)
One atom of each set of equivalent atoms:
Cr  0.000  0.000  0.173 [2 per cell]
P  0.500  0.500  0.000 [1 per cell]
Br  0.500  0.500  0.500 [1 per cell]

=====

--- two ---
Cr2PBr | PBEsol | relaxed

Unit cell a=4.511 b=4.511 c=3.124 alpha=90.00 beta=90.00 gamma=90.00
Space group P4/mmm (No. 123)
One atom of each set of equivalent atoms:
Cr  0.000  0.500  0.000 [2 per cell]
P  0.000  0.000  0.500 [1 per cell]
Br  0.500  0.500  0.500 [1 per cell]

=====

--- three ---
Cr2PBr | PBEsol | relaxed

Unit cell a=6.859 b=6.766 c=3.245 alpha=90.00 beta=111.45 gamma=90.00
Space group C2/m (No. 12)
One atom of each set of equivalent atoms:
Cr  0.250  0.250  0.000 [4 per cell]
P  0.000  0.000  0.500 [2 per cell]
Br  0.000  0.500  0.500 [2 per cell]

=====

Most stable structure: one

=====

--- one ---
CrPb2Br | PBEsol | relaxed

Unit cell a=3.492 b=3.492 c=8.019 alpha=90.00 beta=90.00 gamma=90.00
Space group P4/mmm (No. 123)
One atom of each set of equivalent atoms:
Cr  0.000  0.000  0.000 [1 per cell]
Pb  0.500  0.500  0.220 [2 per cell]
Br  0.000  0.000  0.500 [1 per cell]

=====

--- two ---
CrPb2Br | PBEsol | relaxed

Unit cell a=4.611 b=4.611 c=9.435 alpha=90.00 beta=90.00 gamma=90.00
Space group I4/mmm (No. 139)
One atom of each set of equivalent atoms:
Cr  0.000  0.000  0.000 [2 per cell]
Pb  0.000  0.500  0.250 [4 per cell]
Br  0.000  0.000  0.500 [2 per cell]

=====

Most stable structure: one